The following is a DFT calculation (PBE) of a geometry-optimized AcTmPd structure.

Cell lengths 8.4930, 8.4930, 8.4930 Å; angles 97.34, 97.34, 138.11 degrees
Fractional positions:
Ac 0.0000 0.2651 0.2651
Ac 0.0000 0.7349 0.7349
Ac 0.2651 0.0000 0.2651
Ac 0.7349 0.0000 0.7349
Tm 0.3296 0.3296 0.6593
Tm 0.3296 0.6704 0.0000
Tm 0.6704 0.3296 0.0000
Tm 0.6704 0.6704 0.3407
Pd 0.1470 0.5000 0.6470
Pd 0.5000 0.1470 0.6470
Pd 0.5000 0.8530 0.3530
Pd 0.8530 0.5000 0.3530

Calculated values
* relative energy among the computed polymorphs: 218.6 meV/atom
* space-group type: No. 139
* DOS(E_F): 0.9406 states/eV per atom
* energy of formation from the pure elements: -1.1 eV/f.u.
* DFT total energy: -4.947 eV per atom